A geometry-optimized Np3Co6Si2 structure. Source: Alexandria via LeMat-Bulk, functional PBE.

**Energy relative to the elements, uncorrected**: -3.63 eV/f.u.
**Total moment**: 0.60 μB per atom
**Space group**: Im-3m, No. 229
**Total energy**: -191.87 eV per cell

abc: 7.3595 7.3595 7.3595
angles: 109.47 109.47 109.47
Atoms (fractional coordinates):
Np1 0.0000 0.2624 0.2624
Np2 0.0000 0.7376 0.7376
Np3 0.2624 0.0000 0.2624
Np4 0.2624 0.2624 0.0000
Np5 0.7376 0.0000 0.7376
Np6 0.7376 0.7376 0.0000
Co1 0.0000 0.3509 0.6491
Co2 0.0000 0.6491 0.3509
Co3 0.2983 0.6491 0.6491
Co4 0.3509 0.0000 0.6491
Co5 0.3509 0.3509 0.7017
Co6 0.3509 0.6491 0.0000
Co7 0.3509 0.7017 0.3509
Co8 0.6491 0.0000 0.3509
Co9 0.6491 0.2983 0.6491
Co10 0.6491 0.3509 0.0000
Co11 0.6491 0.6491 0.2983
Co12 0.7017 0.3509 0.3509
Si1 0.0000 0.0000 0.5000
Si2 0.0000 0.5000 0.0000
Si3 0.5000 0.0000 0.0000
Si4 0.5000 0.5000 0.5000



A geometry-optimized Np2Co3Si5 structure. Source: Alexandria via LeMat-Bulk, functional PBE.

**Energy relative to the elements, uncorrected**: -5.06 eV/f.u.
**Total moment**: 0.67 μB per atom
**Space group**: Ibam, No. 72
**Total energy**: -158.75 eV per cell

abc: 7.8533 7.8533 7.8533
angles: 104.43 89.84 138.90
Atoms (fractional coordinates):
Np1 0.1360 0.2329 0.3690
Np2 0.3640 0.7329 0.0969
Np3 0.6360 0.2671 0.9031
Np4 0.8640 0.7671 0.6310
Co1 0.1388 0.8871 0.0259
Co2 0.2500 0.7500 0.5000
Co3 0.3612 0.3871 0.7483
Co4 0.6388 0.6129 0.2517
Co5 0.7500 0.2500 0.5000
Co6 0.8612 0.1129 0.9741
Si1 0.0235 0.7500 0.2735
Si2 0.0995 0.6560 0.7554
Si3 0.2500 0.2500 0.0000
Si4 0.4005 0.1560 0.5565
Si5 0.4765 0.7500 0.7265
Si6 0.5235 0.2500 0.2735
Si7 0.5995 0.8440 0.4435
Si8 0.7500 0.7500 0.0000
Si9 0.9005 0.3440 0.2446
Si10 0.9765 0.2500 0.7265



A geometry-optimized NpCo12Si6 structure. Source: Alexandria via LeMat-Bulk, functional PBE.

**Energy relative to the elements, uncorrected**: -5.54 eV/f.u.
**Total moment**: 0.06 μB per atom
**Space group**: R-3m, No. 166
**Total energy**: -136.29 eV per cell

abc: 6.4994 6.4994 6.4994
angles: 105.65 105.65 105.65
Atoms (fractional coordinates):
Np1 0.0000 0.0000 0.0000
Co1 0.1286 0.5000 0.8714
Co2 0.1286 0.8714 0.5000
Co3 0.1802 0.4307 0.4307
Co4 0.4307 0.1802 0.4307
Co5 0.4307 0.4307 0.1802
Co6 0.5000 0.1286 0.8714
Co7 0.5000 0.8714 0.1286
Co8 0.5693 0.5693 0.8198
Co9 0.5693 0.8198 0.5693
Co10 0.8198 0.5693 0.5693
Co11 0.8714 0.1286 0.5000
Co12 0.8714 0.5000 0.1286
Si1 0.2461 0.2461 0.6951
Si2 0.2461 0.6951 0.2461
Si3 0.3049 0.7539 0.7539
Si4 0.6951 0.2461 0.2461
Si5 0.7539 0.3049 0.7539
Si6 0.7539 0.7539 0.3049



A geometry-optimized Np3Co3Si8 structure. Source: Alexandria via LeMat-Bulk, functional PBE.

**Energy relative to the elements, uncorrected**: -4.37 eV/f.u.
**Total moment**: 0.91 μB per atom
**Space group**: C2/m, No. 12
**Total energy**: -107.89 eV per cell

abc: 7.6138 7.6138 8.1894
angles: 118.69 118.69 31.16
Atoms (fractional coordinates):
Np1 0.0000 0.0000 0.0000
Np2 0.2908 0.2908 0.3269
Np3 0.7092 0.7092 0.6731
Co1 0.0000 0.0000 0.5000
Co2 0.3219 0.3219 0.9963
Co3 0.6781 0.6781 0.0037
Si1 0.1209 0.1209 0.3999
Si2 0.1398 0.1398 0.8459
Si3 0.3607 0.3607 0.7485
Si4 0.4838 0.4838 0.2994
Si5 0.5162 0.5162 0.7006
Si6 0.6393 0.6393 0.2515
Si7 0.8602 0.8602 0.1541
Si8 0.8791 0.8791 0.6001